# 1
The following is a PBE calculation of LiLa2CeSe5 after structural relaxation, from the Alexandria database.

Cell: 9.0228 9.0228 12.6525 Å, 90.00 90.00 152.79°
Last column: nearest neighbours and their distance in Å.
Fractional coordinates of all 18 atoms:
Li (0.0153, 0.9847, 0.5000)  4 Se 2.47-2.66
Li (0.9847, 0.0153, 0.0000)  4 Se 2.47-2.66
La (0.3766, 0.6234, 0.3203)  8 Se 3.05-3.30
La (0.3903, 0.6097, 0.7051)  8 Se 3.07-3.24
La (0.6097, 0.3903, 0.2051)  8 Se 3.07-3.24
La (0.6234, 0.3766, 0.8203)  8 Se 3.05-3.30
Ce (0.3024, 0.6976, 0.0229)  6 Se 2.81-2.95
Ce (0.6976, 0.3024, 0.5229)  6 Se 2.81-2.95
Se (0.0005, 0.9995, 0.3027)  1 Li 2.51
Se (0.1357, 0.8643, 0.0196)  1 Li 2.66, 1 Ce 2.92
Se (0.1914, 0.8086, 0.3624)  2 Ce 2.94, 3 La 3.24-3.29
Se (0.2102, 0.7898, 0.6840)  2 Ce 2.95, 3 La 3.13-3.17
Se (0.4551, 0.5449, 0.0909)  2 Li 2.47
Se (0.5449, 0.4551, 0.5909)  2 Li 2.47
Se (0.7898, 0.2102, 0.1840)  2 Ce 2.95, 3 La 3.13-3.17
Se (0.8086, 0.1914, 0.8624)  2 Ce 2.94, 3 La 3.24-3.29
Se (0.8643, 0.1357, 0.5196)  1 Li 2.66, 1 Ce 2.92
Se (0.9995, 0.0005, 0.8027)  1 Li 2.51

Calculated values
- Crystal system: orthorhombic
- Volume: 235 Å³/f.u.
- Calculated total energy: -5.718 eV per atom
- DOS at the Fermi energy: 6.0 states/eV/f.u.
- SG: No. 36
- Calculated density: 5.78 g cm⁻³

=====

# 2
The following is a PBE calculation of LiTlGe2Se6 after structural relaxation, from the Alexandria database.

Cell: 9.4920 9.4920 6.8219 Å, 106.46 106.46 88.33°
Last column: nearest neighbours and their distance in Å.
Fractional coordinates of all 20 atoms:
Li (0.2208, 0.7792, 0.7500)  4 Se 2.59-2.78
Li (0.7792, 0.2208, 0.2500)  4 Se 2.59-2.78
Tl (0.1813, 0.8187, 0.2500)  4 Se 2.71-2.78
Tl (0.8187, 0.1813, 0.7500)  4 Se 2.71-2.78
Ge (0.2125, 0.3714, 0.2324)  4 Se 2.39-2.43
Ge (0.3714, 0.2125, 0.7324)  4 Se 2.39-2.43
Ge (0.6286, 0.7875, 0.2676)  4 Se 2.39-2.43
Ge (0.7875, 0.6286, 0.7676)  4 Se 2.39-2.43
Se (0.0331, 0.1718, 0.1205)  1 Ge 2.39
Se (0.1051, 0.5944, 0.3800)  1 Ge 2.40, 1 Li 2.59
Se (0.1718, 0.0331, 0.6205)  1 Ge 2.39
Se (0.3124, 0.4306, 0.9770)  2 Ge 2.40-2.43
Se (0.4056, 0.8949, 0.1200)  1 Ge 2.40, 1 Li 2.59
Se (0.4306, 0.3124, 0.4770)  2 Ge 2.40-2.43
Se (0.5694, 0.6876, 0.5230)  2 Ge 2.40-2.43
Se (0.5944, 0.1051, 0.8800)  1 Ge 2.40, 1 Li 2.59
Se (0.6876, 0.5694, 0.0230)  2 Ge 2.40-2.43
Se (0.8282, 0.9669, 0.3795)  1 Ge 2.39
Se (0.8949, 0.4056, 0.6200)  1 Ge 2.40, 1 Li 2.59
Se (0.9669, 0.8282, 0.8795)  1 Ge 2.39

Calculated values
- Crystal system: monoclinic
- Volume: 282 Å³/f.u.
- Calculated total energy: -3.791 eV per atom
- SG: No. 15
- Calculated density: 4.89 g cm⁻³